[1]
## KHg3C (PBE-GGA)

Data for a relaxed KHg3C crystal.

a b c (Å): 6.7464 6.7464 6.7464
angles (deg): 90.00 90.00 90.00
Space group Pm-3m (No. 221)
Unique sites:
K1 0.0000 0.0000 0.0000 [1 per cell]
Hg1 0.0000 0.0000 0.5000 [3 per cell]
C1 0.5000 0.5000 0.5000 [1 per cell]

DFT formation energy   1433 meV per atom
Energy   -0.81 eV per atom
Density of states at the Fermi level   2.694 states/eV per atom

[2]
## KHg3C (PBE-GGA)

Data for a relaxed KHg3C crystal.

a b c (Å): 5.0360 5.0360 5.0360
angles (deg): 90.00 90.00 90.00
Space group Pm-3m (No. 221)
Unique sites:
K1 0.0000 0.0000 0.0000 [1 per cell]
Hg1 0.0000 0.5000 0.5000 [3 per cell]
C1 0.5000 0.5000 0.5000 [1 per cell]

DFT formation energy   759 meV per atom
Energy   -1.49 eV per atom
Density of states at the Fermi level   0.430 states/eV per atom

[3]
## KHgC2 (PBE-GGA)

Data for a relaxed KHgC2 crystal.

a b c (Å): 4.3878 4.3878 15.8932
angles (deg): 90.00 90.00 90.00
Space group I4_1/amd (No. 141, origin choice 2)
Unique sites:
K1 0.0000 0.2500 0.3750 [4 per cell]
Hg1 0.0000 0.2500 0.8750 [4 per cell]
C1 0.0000 0.0000 0.0000 [8 per cell]

DFT formation energy   2054 meV per atom
Energy   -2.91 eV per atom
Density of states at the Fermi level   0.391 states/eV per atom

[4]
## KMnHg2C (PBE-GGA)

Data for a relaxed KMnHg2C crystal.

a b c (Å): 6.4913 6.4913 6.7283
angles (deg): 90.00 90.00 90.00
Space group P4/mmm (No. 123)
Unique sites:
K1 0.0000 0.0000 0.0000 [1 per cell]
Mn1 0.0000 0.0000 0.5000 [1 per cell]
Hg1 0.0000 0.5000 0.0000 [2 per cell]
C1 0.5000 0.5000 0.5000 [1 per cell]

DFT formation energy   2268 meV per atom
Energy   -1.75 eV per atom
Density of states at the Fermi level   5.422 states/eV per atom

[5]
## K2HgMoC (PBE-GGA)

Data for a relaxed K2HgMoC crystal.

a b c (Å): 6.7123 6.7123 3.9828
angles (deg): 90.00 90.00 90.00
Space group P4/mmm (No. 123)
Unique sites:
K1 0.0000 0.5000 0.0000 [2 per cell]
Hg1 0.0000 0.0000 0.5000 [1 per cell]
Mo1 0.5000 0.5000 0.0000 [1 per cell]
C1 0.5000 0.5000 0.5000 [1 per cell]

DFT formation energy   936 meV per atom
Energy   -3.57 eV per atom
Density of states at the Fermi level   0.328 states/eV per atom

[6]
## K2HgC4N4 (PBE-GGA)

Data for a relaxed K2HgC4N4 crystal.

a b c (Å): 13.0218 13.0218 13.0218
angles (deg): 90.00 90.00 90.00
Space group Fd-3m (No. 227, origin choice 2)
Unique sites:
K1 0.0000 0.0000 0.0000 [16 per cell]
Hg1 0.1250 0.1250 0.6250 [8 per cell]
C1 0.0271 0.0271 0.7229 [32 per cell]
N1 0.0249 0.0249 0.2251 [32 per cell]

Energy   -6.57 eV per atom
ΔE_f (raw)   0.03 eV/atom
Density of states at the Fermi level   0.000 states/eV per atom

[7]
## KHgC3S3N3 (PBE-GGA)

Data for a relaxed KHgC3S3N3 crystal.

a b c (Å): 11.7239 4.1505 11.7320
angles (deg): 90.00 115.77 90.00
Space group P2_1/m (No. 11)
Unique sites:
K1 0.1083 0.2500 0.1960 [2 per cell]
Hg1 0.3323 0.2500 0.7448 [2 per cell]
C1 0.1498 0.7500 0.4941 [2 per cell]
C2 0.2033 0.2500 0.9386 [2 per cell]
C3 0.4027 0.7500 0.2817 [2 per cell]
S1 0.1583 0.7500 0.6390 [2 per cell]
S2 0.3548 0.2500 0.9670 [2 per cell]
S3 0.4478 0.2500 0.6103 [2 per cell]
N1 0.0971 0.2500 0.9240 [2 per cell]
N2 0.1407 0.7500 0.3900 [2 per cell]
N3 0.2938 0.7500 0.2121 [2 per cell]

Energy   -6.03 eV per atom
ΔE_f (raw)   0.01 eV/atom
Density of states at the Fermi level   0.000 states/eV per atom

[8]
## KHgC2O6 (PBE-GGA)

Data for a relaxed KHgC2O6 crystal.

a b c (Å): 9.2776 10.1281 6.7765
angles (deg): 90.00 109.21 90.00
Space group C2/c (No. 15)
Unique sites:
K1 0.0000 0.1149 0.2500 [4 per cell]
Hg1 0.0000 0.3498 0.7500 [4 per cell]
C1 0.2288 0.3971 0.2070 [8 per cell]
O1 0.1255 0.3166 0.0938 [8 per cell]
O2 0.1417 0.1490 0.6778 [8 per cell]
O3 0.2077 0.4772 0.7097 [8 per cell]

Energy   -6.13 eV per atom
ΔE_f (raw)   -1.17 eV/atom
Density of states at the Fermi level   0.290 states/eV per atom